{
  "formula": "EuPuPdRu",
  "functional": "PBE",
  "state": "relaxed",
  "dft_energy_ev_per_atom": -9.94,
  "delta_e_f_ev_per_fu": -0.69,
  "n_ef_per_ev_cell": 9.180,
  "cell": [[0.0000, 3.4837, 3.4837], [3.4837, 0.0000, 3.4837], [3.4837, 3.4837, 0.0000]],
  "species": ["Eu", "Pu", "Pd", "Ru"],
  "fractional_positions": [[0.0000, 0.0000, 0.0000], [0.5000, 0.5000, 0.5000], [0.7500, 0.7500, 0.7500], [0.2500, 0.2500, 0.2500]]
}

=====

{
  "formula": "EuPuSbPd",
  "functional": "PBE",
  "state": "relaxed",
  "raw_formation_energy_ev_per_atom": -0.577,
  "dft_energy_ev_per_atom": -9.06,
  "n_ef_per_ev_cell": 24.746,
  "cell": [[0.0000, 3.7350, 3.7350], [3.7350, 0.0000, 3.7350], [3.7350, 3.7350, 0.0000]],
  "species": ["Eu", "Pu", "Sb", "Pd"],
  "fractional_positions": [[0.0000, 0.0000, 0.0000], [0.5000, 0.5000, 0.5000], [0.2500, 0.2500, 0.2500], [0.7500, 0.7500, 0.7500]]
}

=====

{
  "formula": "EuPuSnPd",
  "functional": "PBE",
  "state": "relaxed",
  "dft_energy_ev_per_atom": -8.84,
  "delta_e_f_ev_per_fu": -1.56,
  "n_ef_per_ev_cell": 20.173,
  "cell": [[0.0000, 3.7307, 3.7307], [3.7307, 0.0000, 3.7307], [3.7307, 3.7307, 0.0000]],
  "species": ["Eu", "Pu", "Sn", "Pd"],
  "fractional_positions": [[0.0000, 0.0000, 0.0000], [0.5000, 0.5000, 0.5000], [0.2500, 0.2500, 0.2500], [0.7500, 0.7500, 0.7500]]
}